(1)
# MnTcP2, relaxed, DFT GGA-PBE
data_MnTcP2
_symmetry_space_group_name_H-M 'P 1'
_symmetry_Int_Tables_number 1
_cell_length_a 4.320
_cell_length_b 4.320
_cell_length_c 4.255
_cell_angle_alpha 75.68
_cell_angle_beta 75.68
_cell_angle_gamma 39.83
loop_
_symmetry_equiv_pos_as_xyz
'x,y,z'
loop_
_atom_site_label
_atom_site_type_symbol
_atom_site_fract_x
_atom_site_fract_y
_atom_site_fract_z
_atom_site_occupancy
P1 P 0.994 0.994 0.059 1
P2 P 0.753 0.753 0.720 1
Tc1 Tc 0.494 0.494 0.567 1
Mn1 Mn 0.260 0.260 0.154 1
# * E above lowest polymorph: 107 meV per atom
# * DOS at the Fermi energy: 3.5 states/eV/f.u.
# * ρ: 7.3 g/cm³
# * ΔE_f: -0.37 eV/atom
# * total moment: 0.1 μB per formula unit



(2)
# MnTcP2, relaxed, DFT GGA-PBE
data_MnTcP2
_symmetry_space_group_name_H-M 'P 1'
_symmetry_Int_Tables_number 1
_cell_length_a 3.589
_cell_length_b 2.899
_cell_length_c 4.965
_cell_angle_alpha 90.00
_cell_angle_beta 90.00
_cell_angle_gamma 90.00
loop_
_symmetry_equiv_pos_as_xyz
'x,y,z'
loop_
_atom_site_label
_atom_site_type_symbol
_atom_site_fract_x
_atom_site_fract_y
_atom_site_fract_z
_atom_site_occupancy
P1 P 0.000 0.750 0.484 1
Mn1 Mn 0.500 0.750 0.750 1
P2 P 0.000 0.750 0.016 1
Tc1 Tc 0.500 0.250 0.250 1
# * E above lowest polymorph: 469 meV per atom
# * DOS at the Fermi energy: 3.8 states/eV/f.u.
# * ρ: 6.9 g/cm³
# * ΔE_f: -0.01 eV/atom
# * total moment: 0.8 μB per formula unit



(3)
# MnTcP2, relaxed, DFT GGA-PBE
data_MnTcP2
_symmetry_space_group_name_H-M 'P 1'
_symmetry_Int_Tables_number 1
_cell_length_a 7.277
_cell_length_b 7.277
_cell_length_c 7.277
_cell_angle_alpha 22.78
_cell_angle_beta 22.78
_cell_angle_gamma 22.78
loop_
_symmetry_equiv_pos_as_xyz
'x,y,z'
loop_
_atom_site_label
_atom_site_type_symbol
_atom_site_fract_x
_atom_site_fract_y
_atom_site_fract_z
_atom_site_occupancy
P1 P 0.496 0.496 0.496 1
Mn1 Mn 0.750 0.750 0.750 1
Tc1 Tc 0.250 0.250 0.250 1
P2 P 0.004 0.004 0.004 1
# * E above lowest polymorph: 286 meV per atom
# * DOS at the Fermi energy: 2.0 states/eV/f.u.
# * ρ: 7.0 g/cm³
# * ΔE_f: -0.19 eV/atom
# * total moment: 1.5 μB per formula unit



(4)
# MnTcP2, relaxed, DFT GGA-PBE
data_MnTcP2
_symmetry_space_group_name_H-M 'P 1'
_symmetry_Int_Tables_number 1
_cell_length_a 2.875
_cell_length_b 2.875
_cell_length_c 5.722
_cell_angle_alpha 90.00
_cell_angle_beta 90.00
_cell_angle_gamma 90.00
loop_
_symmetry_equiv_pos_as_xyz
'x,y,z'
loop_
_atom_site_label
_atom_site_type_symbol
_atom_site_fract_x
_atom_site_fract_y
_atom_site_fract_z
_atom_site_occupancy
Tc1 Tc 0.500 0.500 0.250 1
Mn1 Mn 0.500 0.500 0.750 1
P1 P 0.000 0.000 0.989 1
P2 P 0.000 0.000 0.511 1
# * E above lowest polymorph: 163 meV per atom
# * DOS at the Fermi energy: 3.4 states/eV/f.u.
# * ρ: 7.5 g/cm³
# * ΔE_f: -0.31 eV/atom
# * total moment: 0.0 μB per formula unit



(5)
# MnTc2P, relaxed, DFT GGA-PBE
data_MnTc2P
_symmetry_space_group_name_H-M 'P 1'
_symmetry_Int_Tables_number 1
_cell_length_a 2.819
_cell_length_b 2.819
_cell_length_c 6.366
_cell_angle_alpha 90.00
_cell_angle_beta 90.00
_cell_angle_gamma 90.00
loop_
_symmetry_equiv_pos_as_xyz
'x,y,z'
loop_
_atom_site_label
_atom_site_type_symbol
_atom_site_fract_x
_atom_site_fract_y
_atom_site_fract_z
_atom_site_occupancy
Tc1 Tc 0.500 0.500 0.262 1
Mn1 Mn 0.000 0.000 0.537 1
Tc2 Tc 0.000 0.000 0.973 1
P1 P 0.500 0.500 0.728 1
# * E above lowest polymorph: 75 meV per atom
# * DOS at the Fermi energy: 3.3 states/eV/f.u.
# * ρ: 9.3 g/cm³
# * ΔE_f: -0.21 eV/atom
# * total moment: 0.0 μB per formula unit



(6)
# MnTc2P, relaxed, DFT GGA-PBE
data_MnTc2P
_symmetry_space_group_name_H-M 'P 1'
_symmetry_Int_Tables_number 1
_cell_length_a 4.178
_cell_length_b 4.178
_cell_length_c 4.178
_cell_angle_alpha 60.00
_cell_angle_beta 60.00
_cell_angle_gamma 60.00
loop_
_symmetry_equiv_pos_as_xyz
'x,y,z'
loop_
_atom_site_label
_atom_site_type_symbol
_atom_site_fract_x
_atom_site_fract_y
_atom_site_fract_z
_atom_site_occupancy
Tc1 Tc 0.750 0.750 0.750 1
P1 P 0.250 0.250 0.250 1
Tc2 Tc 0.000 0.000 0.000 1
Mn1 Mn 0.500 0.500 0.500 1
# * E above lowest polymorph: 391 meV per atom
# * DOS at the Fermi energy: 3.8 states/eV/f.u.
# * ρ: 9.1 g/cm³
# * ΔE_f: 0.10 eV/atom
# * total moment: 0.4 μB per formula unit



(7)
# MnTcP2, relaxed, DFT GGA-PBE
data_MnTcP2
_symmetry_space_group_name_H-M 'P 1'
_symmetry_Int_Tables_number 1
_cell_length_a 3.092
_cell_length_b 3.092
_cell_length_c 5.310
_cell_angle_alpha 90.00
_cell_angle_beta 90.00
_cell_angle_gamma 90.00
loop_
_symmetry_equiv_pos_as_xyz
'x,y,z'
loop_
_atom_site_label
_atom_site_type_symbol
_atom_site_fract_x
_atom_site_fract_y
_atom_site_fract_z
_atom_site_occupancy
P1 P 0.500 0.500 0.265 1
Mn1 Mn 0.500 0.500 0.819 1
P2 P 0.000 0.000 0.957 1
Tc1 Tc 0.000 0.000 0.458 1
# * E above lowest polymorph: 87 meV per atom
# * DOS at the Fermi energy: 2.1 states/eV/f.u.
# * ρ: 7.0 g/cm³
# * ΔE_f: -0.39 eV/atom
# * total moment: 1.9 μB per formula unit



(8)
# MnTcP2, relaxed, DFT GGA-PBE
data_MnTcP2
_symmetry_space_group_name_H-M 'P 1'
_symmetry_Int_Tables_number 1
_cell_length_a 7.380
_cell_length_b 7.380
_cell_length_c 7.380
_cell_angle_alpha 22.87
_cell_angle_beta 22.87
_cell_angle_gamma 22.87
loop_
_symmetry_equiv_pos_as_xyz
'x,y,z'
loop_
_atom_site_label
_atom_site_type_symbol
_atom_site_fract_x
_atom_site_fract_y
_atom_site_fract_z
_atom_site_occupancy
P1 P 0.249 0.249 0.249 1
P2 P 0.004 0.004 0.004 1
Mn1 Mn 0.741 0.741 0.741 1
Tc1 Tc 0.506 0.506 0.506 1
# * E above lowest polymorph: 402 meV per atom
# * DOS at the Fermi energy: 3.6 states/eV/f.u.
# * ρ: 6.7 g/cm³
# * ΔE_f: -0.08 eV/atom
# * total moment: 1.5 μB per formula unit